Here is crystalline Cs3Rb7Na2 at its relaxed geometry from Alexandria. Energies are from PBE.

Cell lengths 7.3417, 7.1162, 21.2269 Å; angles 99.65, 90.00, 90.00 degrees
With the nearest neighbours (Å) after each atom.
Fractional positions:
1 Cs 0.0000 0.2986 0.5971  2 Na 4.42, 1 Rb 4.80
2 Cs 0.0000 0.7014 0.4029  2 Na 4.42, 1 Rb 4.80
3 Cs 0.5000 0.5000 0.0000  12 Rb 5.11-5.18
4 Rb 0.5000 0.9100 0.8200  2 Na 4.19
5 Rb 0.0000 0.5867 0.1734  2 Na 4.35, 1 Cs 4.80
6 Rb 0.5000 0.7938 0.5877  2 Na 4.44, 1 Rb 4.86
7 Rb 0.5000 0.2062 0.4123  2 Na 4.44, 1 Rb 4.86
8 Rb 0.5000 0.0900 0.1800  2 Na 4.19
9 Rb 0.0000 0.4133 0.8266  2 Na 4.35, 1 Cs 4.80
10 Rb 0.0000 0.0000 0.0000  8 Rb 5.08-5.26, 4 Cs 5.11
11 Na 0.5000 0.6427 0.2853  6 Rb 4.19-4.44, 2 Cs 4.42
12 Na 0.5000 0.3573 0.7147  6 Rb 4.19-4.44, 2 Cs 4.42

Computed properties:
Total magnetic moment (Bohr magnetons per cell): 0.00
Calculated density (kg/m3): 1584
Uncorrected energy (eV/atom): -0.9606
E_form (eV per atom): 0.037

---

Here is crystalline CsRbNa at its relaxed geometry from Alexandria. Energies are from PBE.

Cell lengths 5.7051, 14.9275, 8.5009 Å; angles 44.66, 90.00, 101.02 degrees
With the nearest neighbours (Å) after each atom.
Fractional positions:
1 Na 0.2301 0.4602 0.6658  2 Na 3.56
2 Na 0.7699 0.5398 0.3342  2 Na 3.56
3 Rb 0.4255 0.8509 0.9394  3 Na 4.24-4.44
4 Rb 0.5745 0.1491 0.0606  3 Na 4.24-4.44
5 Cs 0.1435 0.2871 0.3806  4 Na 4.46-4.61
6 Cs 0.8565 0.7129 0.6194  4 Na 4.46-4.61

Computed properties:
Total magnetic moment (Bohr magnetons per cell): 0.00
Calculated density (kg/m3): 1637
Uncorrected energy (eV/atom): -1.0242
E_form (eV per atom): 0.023

---

Here is crystalline CsRb6Na2 at its relaxed geometry from Alexandria. Energies are from PBE.

Cell lengths 13.1994, 12.4477, 12.4477 Å; angles 69.77, 57.98, 57.98 degrees
With the nearest neighbours (Å) after each atom.
Fractional positions:
1 Rb 0.9827 0.3077 0.3077  3 Na 4.12-4.48
2 Rb 0.2897 0.7992 0.2008  3 Na 4.35-4.52, 1 Cs 4.77
3 Rb 0.5981 0.6923 0.6923  3 Na 4.12-4.48
4 Rb 0.7582 0.0176 0.4659  2 Na 4.30-4.55
5 Rb 0.4019 0.3077 0.3077  3 Na 4.12-4.48
6 Rb 0.7582 0.4659 0.0176  2 Na 4.30-4.55
7 Rb 0.7103 0.7992 0.2008  3 Na 4.35-4.52, 1 Cs 4.77
8 Rb 0.2418 0.5341 0.9824  2 Na 4.30-4.55
9 Rb 0.2418 0.9824 0.5341  2 Na 4.30-4.55
10 Rb 0.2897 0.2008 0.7992  3 Na 4.35-4.52, 1 Cs 4.77
11 Rb 0.0173 0.6923 0.6923  3 Na 4.12-4.48
12 Rb 0.7103 0.2008 0.7992  3 Na 4.35-4.52, 1 Cs 4.77
13 Na 0.0000 0.3698 0.6302  1 Na 3.71
14 Na 0.3886 0.1114 0.1114  1 Na 3.47
15 Na 0.6114 0.8886 0.8886  1 Na 3.47
16 Na 0.0000 0.6302 0.3698  1 Na 3.71
17 Cs 0.0000 0.0000 0.0000  8 Rb 4.77-4.94, 2 Na 5.27
18 Cs 0.5000 0.5000 0.5000  12 Rb 4.87-5.14

Computed properties:
Total magnetic moment (Bohr magnetons per cell): 0.00
Calculated density (kg/m3): 1569
Uncorrected energy (eV/atom): -1.0074
E_form (eV per atom): 0.026

---

| no. | ΔE to the lowest computed polymorph (eV/f.u.) |
| --- | --- |
| 1 | 0.04 |
| 2 | 0.00 |
| 3 | 0.00 |